The following is a PBE-GGA calculation of crystalline TaZnTc at its relaxed geometry, from OQMD via LeMat-Bulk.

Output
M_tot ... 0.00 μB per formula unit
Calculated formation energy ... 0.680 eV/atom

Cell and atoms, written as POSCAR:
```
TaZnTc
1.0
0.000 3.050 3.050
3.050 0.000 3.050
3.050 3.050 0.000
Ta Tc Zn
1 1 1
direct
0.000 0.000 0.000 Ta
0.250 0.250 0.250 Tc
0.750 0.750 0.750 Zn
```